A plane-wave DFT calculation with PBE was carried out for a relaxed structure of Cs3In2Bi2.

The structure in POSCAR format:
```
Cs3In2Bi2
1.0
4.845 0.000 0.000
0.000 6.238 0.000
0.000 0.000 22.907
Cs In Bi
6 4 4
direct
0.000 0.000 0.000
0.000 0.500 0.316
0.000 0.500 0.684
0.500 0.000 0.184
0.500 0.000 0.816
0.500 0.500 0.500
0.000 0.000 0.439
0.000 0.000 0.561
0.500 0.500 0.061
0.500 0.500 0.939
0.000 0.500 0.135
0.000 0.500 0.865
0.500 0.000 0.365
0.500 0.000 0.635
```

Results
The value obtained for the formation energy is -317 meV per atom. As for the space group: Immm. The value obtained for the volume is 49.454 Å³ per atom. The calculated density comes out at 5.02 g/cm3. The value obtained for the total moment is 0.00 μB per formula unit.